## AlP2Se (PBE)

Data for AlP2Se after structural relaxation.

Structure (POSCAR):
```
AlP2Se
1.0
-0.380 -4.590 -4.822
3.022 -1.331 1.029
-1.671 -2.126 2.156
P Se Al
2 1 1
Cartesian
0.676 -1.729 1.592
0.000 0.000 0.000
1.321 -2.961 -1.897
-1.026 -3.358 -1.333
```

Computed properties:
* SG: P4/mmm
* size of the total moment: 0.00 μB/cell
* ρ: 3.5 g/cm³
* VASP energy: -4.28 eV per atom
* crystal system: tetragonal
* formation energy (no corrections): 5.32 kcal/mol of atoms
* E above lowest polymorph: 38.0 kJ/mol of atoms